Below is a geometry-optimized V3P2O11 structure, with properties calculated at the GGA+U level.

```
V3P2O11
1.0
-1.4770 3.4829 -5.6256
-2.3790 -8.6700 -4.7432
-11.4396 1.4502 3.9013
P O V
8 44 12
direct
0.2095 0.3896 0.9134
0.2928 0.3734 0.5840
0.7928 0.1266 0.4160
0.2905 0.8896 0.9134
0.7072 0.6266 0.4160
0.7905 0.6104 0.0866
0.7095 0.1104 0.0866
0.2072 0.8734 0.5840
0.3414 0.4787 0.8441
0.4742 0.8726 0.2475
0.2436 0.1225 0.2510
0.8429 0.7156 0.3487
0.6571 0.2156 0.3487
0.5075 0.3297 0.5867
0.2283 0.0190 0.6261
0.2690 0.8740 0.4611
0.7690 0.6260 0.5389
0.7310 0.1260 0.5389
0.1571 0.2844 0.6513
0.5083 0.9265 0.9085
0.3994 0.3695 0.2505
0.7166 0.6048 0.9655
0.2310 0.3740 0.4611
0.7283 0.4810 0.3739
0.0258 0.3726 0.2475
0.9925 0.8297 0.5867
0.7564 0.8775 0.7490
0.4917 0.0735 0.0915
0.0075 0.1703 0.4133
0.2332 0.2437 0.8719
0.1587 0.9787 0.8441
0.7668 0.7563 0.1281
0.6586 0.5213 0.1559
0.9742 0.6274 0.7525
0.7436 0.3775 0.7490
0.9917 0.4265 0.9085
0.7834 0.1048 0.9655
0.4925 0.6703 0.4133
0.2166 0.8952 0.0345
0.2717 0.5190 0.6261
0.3429 0.7844 0.6513
0.2668 0.7437 0.8719
0.2834 0.3952 0.0345
0.2564 0.6225 0.2510
0.5258 0.1274 0.7525
0.8414 0.0213 0.1559
0.6006 0.6305 0.7495
0.7717 0.9810 0.3739
0.8994 0.1305 0.7495
0.1006 0.8695 0.2505
0.7332 0.2563 0.1281
0.0083 0.5735 0.0915
0.7944 0.5225 0.8296
0.2056 0.4775 0.1704
0.6958 0.2284 0.6687
0.6795 0.3686 0.2507
0.3205 0.6314 0.7493
0.8042 0.7284 0.6687
0.8205 0.8686 0.2507
0.7056 0.0225 0.8296
0.1958 0.2716 0.3313
0.3042 0.7716 0.3313
0.1795 0.1314 0.7493
0.2944 0.9775 0.1704
```

Properties
- Total DFT energy (no corrections): -7.547 eV/atom